First-principles (PBE) data for NiHg2As after structural relaxation, as listed in Alexandria.

```
NiHg2As
1.0
3.161 0.000 0.000
0.000 2.549 5.392
0.000 -2.549 5.392
Ni Hg As
1 2 1
direct
0.000 0.000 0.000 Ni
0.000 0.474 0.474 Hg
0.500 0.791 0.791 Hg
0.500 0.153 0.153 As
```

Its final energy is -10.7 eV/f.u. As for the spin magnetization: 0.0000 μB per atom. The calculation puts the calculated formation energy at 35 kJ/mol of formula units. The value obtained for the density of states at the Fermi level is 0.484 states/eV per atom.

=====

First-principles (PBE) data for NiHgAs2 after structural relaxation, as listed in Alexandria.

```
NiHgAs2
1.0
-1.748 1.760 6.861
1.748 -1.760 6.861
1.748 1.760 -6.861
Ni Hg As
1 1 2
direct
0.000 0.000 0.000 Ni
0.221 0.721 0.500 Hg
0.526 0.526 0.000 As
0.882 0.382 0.500 As
```

Its final energy is -15.0 eV/f.u. As for the spin magnetization: 0.0000 μB per atom. The calculation puts the calculated formation energy at 36 kJ/mol of formula units. The value obtained for the density of states at the Fermi level is 0.420 states/eV per atom.

=====

First-principles (PBE) data for NiHgAs2 after structural relaxation, as listed in Alexandria.

```
NiHgAs2
1.0
0.000 3.320 3.320
3.320 0.000 3.320
3.320 3.320 0.000
Ni Hg As
1 1 2
direct
0.000 0.000 0.000 Ni
0.750 0.750 0.750 Hg
0.250 0.250 0.250 As
0.500 0.500 0.500 As
```

Its final energy is -13.5 eV/f.u. As for the spin magnetization: 0.0000 μB per atom. The calculation puts the calculated formation energy at 183 kJ/mol of formula units. The value obtained for the density of states at the Fermi level is 0.668 states/eV per atom.